K2CaMn | PBE | relaxed

- Crystal system: orthorhombic
- Calculated total energy: -0.1944 Ry per atom
- Space group: Pmmm (47)
- Total magnetic moment: 4.48 μB per cell
- Formation energy from the elements: 0.6966 eV/atom
- Theoretical density: 1658 kg/m3

Cell lengths 3.911, 6.090, 7.282 Å; angles 90.00, 90.00, 90.00 degrees
Sites, in units of the cell vectors:
K 0.000 0.000 0.232
K 0.000 0.000 0.768
Ca 0.500 0.500 0.500
Mn 0.500 0.500 0.000



Sr2ThTl | PBE | relaxed

- Crystal system: trigonal
- Calculated total energy: -0.2253 Ry per atom
- Space group: R-3m (166)
- Total magnetic moment: 0.00 μB per cell
- Formation energy from the elements: 0.2226 eV/atom
- Theoretical density: 6620 kg/m3

Cell lengths 12.923, 12.923, 12.923 Å; angles 16.59, 16.59, 16.59 degrees
Sites, in units of the cell vectors:
Sr 0.096 0.096 0.096
Sr 0.904 0.904 0.904
Th 0.000 0.000 0.000
Tl 0.500 0.500 0.500



SiSbIr3 | PBE | relaxed

- Crystal system: cubic
- Calculated total energy: -0.3983 Ry per atom
- Raw formation energy: 1.8061 eV per atom
- Space group: Pm-3m (221)
- Total magnetic moment: 0.00 μB per cell
- Theoretical density: 10537 kg/m3

Cell lengths 4.856, 4.856, 4.856 Å; angles 90.00, 90.00, 90.00 degrees
Sites, in units of the cell vectors:
Si 0.000 0.000 0.000
Sb 0.500 0.500 0.500
Ir 0.000 0.500 0.500
Ir 0.500 0.000 0.500
Ir 0.500 0.500 0.000



CaRuSCl2 | PBE | relaxed

- Crystal system: tetragonal
- Calculated total energy: -0.2841 Ry per atom
- Raw formation energy: -0.0455 eV per atom
- Space group: P4/mmm (123)
- Total magnetic moment: 4.01 μB per cell
- Theoretical density: 2829 kg/m3

Cell lengths 5.096, 5.096, 5.517 Å; angles 90.00, 90.00, 90.00 degrees
Sites, in units of the cell vectors:
Ca 0.000 0.000 0.000
Ru 0.500 0.500 0.500
S 0.000 0.000 0.500
Cl 0.000 0.500 0.000
Cl 0.500 0.000 0.000



Mg4As2P | PBE | relaxed

- Crystal system: tetragonal
- Calculated total energy: -0.2552 Ry per atom
- Space group: I4_1/amd (141)
- Total magnetic moment: 0.00 μB per cell
- Formation energy from the elements: -0.4603 eV/atom
- Theoretical density: 2743 kg/m3

Cell lengths 7.780, 7.780, 7.780 Å; angles 119.27, 119.27, 91.27 degrees
Sites, in units of the cell vectors:
Mg 0.251 0.266 0.515
Mg 0.251 0.736 0.985
Mg 0.264 0.749 0.515
Mg 0.266 0.251 0.015
Mg 0.734 0.749 0.985
Mg 0.736 0.251 0.485
Mg 0.749 0.264 0.015
Mg 0.749 0.734 0.485
As 0.000 0.500 0.500
As 0.500 0.000 0.000
As 0.500 0.500 0.000
As 0.500 0.500 0.500
P 0.125 0.875 0.250
P 0.875 0.125 0.750



Ac8La6Ho | PBE | relaxed

- Crystal system: trigonal
- Calculated total energy: -0.3125 Ry per atom
- Space group: P-3 (147)
- Total magnetic moment: 0.00 μB per cell
- Formation energy from the elements: 0.2156 eV/atom
- Theoretical density: 7262 kg/m3

Cell lengths 10.143, 10.143, 7.223 Å; angles 90.00, 90.00, 120.00 degrees
Sites, in units of the cell vectors:
Ac 0.031 0.333 0.119
Ac 0.302 0.969 0.119
Ac 0.333 0.302 0.881
Ac 0.333 0.667 0.780
Ac 0.667 0.333 0.220
Ac 0.667 0.698 0.119
Ac 0.698 0.031 0.881
Ac 0.969 0.667 0.881
La 0.054 0.669 0.397
La 0.331 0.385 0.397
La 0.385 0.054 0.603
La 0.615 0.946 0.397
La 0.669 0.615 0.603
La 0.946 0.331 0.603
Ho 0.000 0.000 0.500



Mn2Ni2Os | PBE | relaxed

- Crystal system: tetragonal
- Calculated total energy: -0.5626 Ry per atom
- Space group: I4/mmm (139)
- Total magnetic moment: 0.64 μB per cell
- Formation energy from the elements: 0.5724 eV/atom
- Theoretical density: 11438 kg/m3

Cell lengths 6.282, 6.282, 6.282 Å; angles 150.32, 150.32, 42.47 degrees
Sites, in units of the cell vectors:
Mn 0.250 0.750 0.500
Mn 0.750 0.250 0.500
Ni 0.099 0.099 0.000
Ni 0.901 0.901 0.000
Os 0.500 0.500 0.000



AcLaGdTl | PBE | relaxed

- Crystal system: cubic
- Calculated total energy: -0.4742 Ry per atom
- Space group: F-43m (216)
- Total magnetic moment: 8.33 μB per cell
- Formation energy from the elements: -0.0804 eV/atom
- Theoretical density: 8809 kg/m3

Cell lengths 5.788, 5.788, 5.788 Å; angles 60.00, 60.00, 60.00 degrees
Sites, in units of the cell vectors:
Ac 0.000 0.000 0.000
La 0.500 0.500 0.500
Gd 0.250 0.250 0.250
Tl 0.750 0.750 0.750



KCd2I4 | PBE | relaxed

- Crystal system: tetragonal
- Calculated total energy: -0.1421 Ry per atom
- Raw formation energy: -0.6295 eV per atom
- Space group: I4/m (87)
- Total magnetic moment: 0.00 μB per cell
- Theoretical density: 3929 kg/m3

Cell lengths 7.568, 7.568, 7.568 Å; angles 104.75, 104.75, 119.40 degrees
Sites, in units of the cell vectors:
K 0.000 0.000 0.000
Cd 0.250 0.750 0.500
Cd 0.750 0.250 0.500
I 0.185 0.665 0.850
I 0.335 0.185 0.520
I 0.665 0.815 0.480
I 0.815 0.335 0.150



CsNaZnHg2 | PBE | relaxed

- Crystal system: tetragonal
- Calculated total energy: -0.0650 Ry per atom
- Space group: P4/mmm (123)
- Total magnetic moment: 0.00 μB per cell
- Formation energy from the elements: -0.0748 eV/atom
- Theoretical density: 5802 kg/m3

Cell lengths 5.591, 5.591, 5.698 Å; angles 90.00, 90.00, 90.00 degrees
Sites, in units of the cell vectors:
Cs 0.000 0.000 0.000
Na 0.500 0.500 0.000
Zn 0.500 0.500 0.500
Hg 0.000 0.500 0.500
Hg 0.500 0.000 0.500



LaPr5Ho2 | PBE | relaxed

- Crystal system: orthorhombic
- Calculated total energy: -0.3466 Ry per atom
- Space group: Immm (71)
- Total magnetic moment: 0.00 μB per cell
- Formation energy from the elements: 0.0316 eV/atom
- Theoretical density: 6889 kg/m3

Cell lengths 9.064, 9.064, 9.064 Å; angles 156.84, 101.62, 83.06 degrees
Sites, in units of the cell vectors:
La 0.000 0.000 0.000
Pr 0.138 0.368 0.770
Pr 0.402 0.632 0.770
Pr 0.500 0.000 0.500
Pr 0.598 0.368 0.230
Pr 0.862 0.632 0.230
Ho 0.243 0.743 0.500
Ho 0.757 0.257 0.500



Al6CdAu12 | PBE | relaxed

- Crystal system: trigonal
- Calculated total energy: -0.2552 Ry per atom
- Space group: R-3m (166)
- Total magnetic moment: 0.00 μB per cell
- Formation energy from the elements: -0.1727 eV/atom
- Theoretical density: 11590 kg/m3

Cell lengths 7.230, 7.230, 7.230 Å; angles 90.37, 90.37, 90.37 degrees
Sites, in units of the cell vectors:
Al 0.181 0.677 0.677
Al 0.323 0.323 0.819
Al 0.323 0.819 0.323
Al 0.677 0.181 0.677
Al 0.677 0.677 0.181
Al 0.819 0.323 0.323
Cd 0.500 0.500 0.500
Au 0.000 0.364 0.636
Au 0.000 0.636 0.364
Au 0.024 0.024 0.299
Au 0.024 0.299 0.024
Au 0.299 0.024 0.024
Au 0.364 0.000 0.636
Au 0.364 0.636 0.000
Au 0.636 0.000 0.364
Au 0.636 0.364 0.000
Au 0.701 0.976 0.976
Au 0.976 0.701 0.976
Au 0.976 0.976 0.701